1.
Compound: Dy8Tm3Th4
Source: Alexandria via LeMat-Bulk
Functional: PBE
Structure: optimized geometry

Unit cell a=11.624 b=9.250 c=9.250 alpha=87.82 beta=128.71 gamma=128.71
Sites, in units of the cell vectors:
Dy1 0.489 0.235 0.235
Dy2 0.000 0.640 0.360
Dy3 0.018 0.280 0.280
Dy4 0.500 0.748 0.252
Dy5 0.500 0.252 0.748
Dy6 0.982 0.720 0.720
Dy7 0.000 0.360 0.640
Dy8 0.511 0.765 0.765
Tm1 0.500 0.500 0.000
Tm2 0.500 0.000 0.500
Tm3 0.500 0.500 0.500
Th1 0.500 0.000 0.000
Th2 0.000 0.500 0.000
Th3 0.000 0.000 0.000
Th4 0.000 0.000 0.500

## Properties
The symmetry is No. 12.

2.
Compound: Dy2Tm3Th2
Source: Alexandria via LeMat-Bulk
Functional: PBE
Structure: optimized geometry

Unit cell a=3.547 b=9.372 c=7.863 alpha=75.22 beta=103.03 gamma=67.71
Sites, in units of the cell vectors:
Dy1 0.293 0.282 0.151
Dy2 0.707 0.718 0.849
Tm1 0.000 0.000 0.000
Tm2 0.575 0.571 0.291
Tm3 0.425 0.429 0.709
Th1 0.146 0.141 0.574
Th2 0.854 0.859 0.426

## Properties
The symmetry is No. 12.

3.
Compound: Dy11Tm9Th4
Source: Alexandria via LeMat-Bulk
Functional: PBE
Structure: optimized geometry

Unit cell a=3.557 b=15.392 c=15.392 alpha=116.37 beta=90.00 gamma=90.00
Sites, in units of the cell vectors:
Dy1 0.000 0.596 0.968
Dy2 0.000 0.404 0.032
Dy3 0.000 0.968 0.596
Dy4 0.000 0.032 0.404
Dy5 0.000 0.623 0.377
Dy6 0.000 0.377 0.623
Dy7 0.000 0.812 0.188
Dy8 0.000 0.188 0.812
Dy9 0.000 0.000 0.000
Dy10 0.000 0.788 0.788
Dy11 0.000 0.212 0.212
Tm1 0.500 0.611 0.175
Tm2 0.500 0.389 0.825
Tm3 0.500 0.175 0.611
Tm4 0.500 0.825 0.389
Tm5 0.500 0.797 0.985
Tm6 0.500 0.203 0.015
Tm7 0.500 0.985 0.797
Tm8 0.500 0.015 0.203
Tm9 0.500 0.500 0.500
Th1 0.500 0.585 0.756
Th2 0.500 0.415 0.244
Th3 0.500 0.756 0.585
Th4 0.500 0.244 0.415

## Properties
The symmetry is No. 65.

4.
Compound: DyTm4Th4
Source: Alexandria via LeMat-Bulk
Functional: PBE
Structure: optimized geometry

Unit cell a=5.009 b=7.913 c=7.913 alpha=84.25 beta=71.55 gamma=71.55
Sites, in units of the cell vectors:
Dy1 0.000 0.000 0.000
Tm1 0.669 0.331 0.332
Tm2 0.331 0.669 0.668
Tm3 0.000 0.668 0.331
Tm4 0.000 0.332 0.669
Th1 0.666 0.667 0.000
Th2 0.334 0.333 0.000
Th3 0.666 0.000 0.667
Th4 0.334 0.000 0.333

## Properties
The symmetry is No. 139.

Number 1: DFT formation energy 0.439 eV/atom. Number 2: DFT formation energy 0.026 eV/atom. Number 3: DFT formation energy 0.079 eV/atom. Number 4: DFT formation energy 0.041 eV/atom.